# NpCuIr | Alexandria via LeMat-Bulk | PBE | optimized geometry
# Crystal system ... tetragonal
# Final energy ... -51.34 eV per cell
data_NpCuIr
_space_group_name_H-M_alt 'I 4 m m'
_space_group_IT_number 107
_space_group_name_Hall 'I 4 -2'
_cell_length_a 3.0119
_cell_length_b 3.0119
_cell_length_c 11.3141
_cell_angle_alpha 90.00
_cell_angle_beta 90.00
_cell_angle_gamma 90.00
loop_
_atom_site_label
_atom_site_fract_x
_atom_site_fract_y
_atom_site_fract_z
Np1 0.0000 0.0000 0.0000
Cu1 0.0000 0.0000 0.6899
Ir1 0.0000 0.0000 0.3315